No. 1
# TbPr4Tm GGA-PBE optimized geometry
# formation enthalpy at 0 K: 0.1 eV per formula unit
# energy above the most stable polymorph in this dataset: 0 meV/atom
# energy: -4.68 eV per atom
data_TbPr4Tm
_space_group_name_H-M_alt 'C m m m'
_space_group_IT_number 65
_space_group_name_Hall '-C 2 2'
_cell_length_a 5.182
_cell_length_b 15.461
_cell_length_c 5.181
_cell_angle_alpha 90.00
_cell_angle_beta 90.00
_cell_angle_gamma 90.00
loop_
_atom_site_label
_atom_site_fract_x
_atom_site_fract_y
_atom_site_fract_z
Tb1 0.000 0.000 0.000
Pr1 0.000 0.165 0.500
Pr2 0.000 0.336 0.000
Tm1 0.000 0.500 0.500

---

No. 2
# Tb2Pr5Tm5 GGA-PBE optimized geometry
# formation enthalpy at 0 K: 0.3 eV per formula unit
# energy: -4.60 eV per atom
data_Tb2Pr5Tm5
_space_group_name_H-M_alt 'C 1 2/m 1'
_space_group_IT_number 12
_cell_length_a 15.278
_cell_length_b 5.065
_cell_length_c 11.391
_cell_angle_alpha 90.00
_cell_angle_beta 116.66
_cell_angle_gamma 90.00
loop_
_space_group_symop_operation_xyz
'x,y,z'
'-x,-y,-z'
'-x,y,-z'
'x,-y,z'
'x+1/2,y+1/2,z'
'-x+1/2,-y+1/2,-z'
'-x+1/2,y+1/2,-z'
'x+1/2,-y+1/2,z'
loop_
_atom_site_label
_atom_site_fract_x
_atom_site_fract_y
_atom_site_fract_z
Tb1 0.166 0.000 0.499
Pr1 0.000 0.000 0.000
Pr2 0.081 0.000 0.749
Pr3 0.249 0.000 0.250
Tm1 0.000 0.500 0.500
Tm2 0.084 0.500 0.252
Tm3 0.167 0.500 0.000

---

No. 3
# Tb2Pr3Tm6 GGA-PBE optimized geometry
# formation enthalpy at 0 K: 3.0 eV per formula unit
# energy above the most stable polymorph in this dataset: 64 meV/atom
# energy: -4.31 eV per atom
data_Tb2Pr3Tm6
_space_group_name_H-M_alt 'I 4/m m m'
_space_group_IT_number 139
_space_group_name_Hall '-I 4 2'
_cell_length_a 4.744
_cell_length_b 4.744
_cell_length_c 33.159
_cell_angle_alpha 90.00
_cell_angle_beta 90.00
_cell_angle_gamma 90.00
loop_
_atom_site_label
_atom_site_fract_x
_atom_site_fract_y
_atom_site_fract_z
Tb1 0.000 0.000 0.046
Pr1 0.000 0.000 0.295
Pr2 0.000 0.000 0.500
Tm1 0.000 0.000 0.191
Tm2 0.000 0.500 0.121

---

No. 4
# Tb5Pr2Tm2 GGA-PBE optimized geometry
# formation enthalpy at 0 K: 2.0 eV per formula unit
# energy above the most stable polymorph in this dataset: 4 meV/atom
# energy: -4.41 eV per atom
data_Tb5Pr2Tm2
_space_group_name_H-M_alt 'C 1 2/m 1'
_space_group_IT_number 12
_cell_length_a 21.804
_cell_length_b 3.497
_cell_length_c 8.220
_cell_angle_alpha 90.00
_cell_angle_beta 99.87
_cell_angle_gamma 90.00
loop_
_space_group_symop_operation_xyz
'x,y,z'
'-x,-y,-z'
'-x,y,-z'
'x,-y,z'
'x+1/2,y+1/2,z'
'-x+1/2,-y+1/2,-z'
'-x+1/2,y+1/2,-z'
'x+1/2,-y+1/2,z'
loop_
_atom_site_label
_atom_site_fract_x
_atom_site_fract_y
_atom_site_fract_z
Tb1 0.000 0.000 0.000
Tb2 0.094 0.000 0.732
Tb3 0.190 0.500 0.533
Pr1 0.179 0.000 0.145
Tm1 0.047 0.500 0.357

---

The lowest energy belongs to which entry?
TbPr4Tm

---

Copy entry 2 word for word.
# Tb2Pr5Tm5 GGA-PBE optimized geometry
# formation enthalpy at 0 K: 0.3 eV per formula unit
# energy: -4.60 eV per atom
data_Tb2Pr5Tm5
_space_group_name_H-M_alt 'C 1 2/m 1'
_space_group_IT_number 12
_cell_length_a 15.278
_cell_length_b 5.065
_cell_length_c 11.391
_cell_angle_alpha 90.00
_cell_angle_beta 116.66
_cell_angle_gamma 90.00
loop_
_space_group_symop_operation_xyz
'x,y,z'
'-x,-y,-z'
'-x,y,-z'
'x,-y,z'
'x+1/2,y+1/2,z'
'-x+1/2,-y+1/2,-z'
'-x+1/2,y+1/2,-z'
'x+1/2,-y+1/2,z'
loop_
_atom_site_label
_atom_site_fract_x
_atom_site_fract_y
_atom_site_fract_z
Tb1 0.166 0.000 0.499
Pr1 0.000 0.000 0.000
Pr2 0.081 0.000 0.749
Pr3 0.249 0.000 0.250
Tm1 0.000 0.500 0.500
Tm2 0.084 0.500 0.252
Tm3 0.167 0.500 0.000